## Sr2Nb2Cl (PBE-GGA)

Data for Sr2Nb2Cl after structural relaxation.

Output
Its uncorrected energy is -0.34782 Ry per atom. The calculation puts the uncorrected formation energy at 338 meV/atom. The calculation puts the relative energy among the computed polymorphs at 506 meV per atom. Its space-group type is P4/mbm (127). The value obtained for the total moment is 0.0 μB per cell.

a = 9.144 Å, b = 9.144 Å, c = 4.187 Å
α = 90.00°, β = 90.00°, γ = 90.00°
Element x y z (fractional)
Sr1 0.201 0.299 0.000
Sr2 0.299 0.799 0.000
Sr3 0.701 0.201 0.000
Sr4 0.799 0.701 0.000
Nb1 0.082 0.582 0.500
Nb2 0.418 0.082 0.500
Nb3 0.582 0.918 0.500
Nb4 0.918 0.418 0.500
Cl1 0.000 0.000 0.000
Cl2 0.500 0.500 0.000

## SrNbCl3 (PBE-GGA)

Data for SrNbCl3 after structural relaxation.

Output
Its uncorrected energy is -0.32026 Ry per atom. The calculation puts the uncorrected formation energy at -899 meV/atom. Its space-group type is Pm-3m (221). The value obtained for the total moment is 2.5 μB per cell.

a = 5.092 Å, b = 5.092 Å, c = 5.092 Å
α = 90.00°, β = 90.00°, γ = 90.00°
Element x y z (fractional)
Sr1 0.000 0.000 0.000
Nb1 0.500 0.500 0.500
Cl1 0.000 0.500 0.500
Cl2 0.500 0.000 0.500
Cl3 0.500 0.500 0.000

## SrNb3Cl (PBE-GGA)

Data for SrNb3Cl after structural relaxation.

Output
Its uncorrected energy is -0.29583 Ry per atom. The calculation puts the uncorrected formation energy at 2723 meV/atom. The calculation puts the relative energy among the computed polymorphs at 1995 meV per atom. Its space-group type is Pm-3m (221). The value obtained for the total moment is 0.0 μB per cell.

a = 5.057 Å, b = 5.057 Å, c = 5.057 Å
α = 90.00°, β = 90.00°, γ = 90.00°
Element x y z (fractional)
Sr1 0.000 0.000 0.000
Nb1 0.000 0.000 0.500
Nb2 0.000 0.500 0.000
Nb3 0.500 0.000 0.000
Cl1 0.500 0.500 0.500

## SrNb2Cl (PBE-GGA)

Data for SrNb2Cl after structural relaxation.

Output
Its uncorrected energy is -0.42469 Ry per atom. The calculation puts the uncorrected formation energy at 139 meV/atom. The calculation puts the relative energy among the computed polymorphs at 0 meV per atom. Its space-group type is I-42d (122). The value obtained for the total moment is 0.0 μB per cell.

a = 3.876 Å, b = 3.876 Å, c = 28.280 Å
α = 90.00°, β = 90.00°, γ = 90.00°
Element x y z (fractional)
Sr1 0.000 0.000 0.000
Sr2 0.000 0.500 0.250
Sr3 0.500 0.000 0.750
Sr4 0.500 0.500 0.500
Nb1 0.239 0.250 0.125
Nb2 0.250 0.739 0.375
Nb3 0.250 0.761 0.875
Nb4 0.261 0.250 0.625
Nb5 0.739 0.750 0.625
Nb6 0.750 0.239 0.875
Nb7 0.750 0.261 0.375
Nb8 0.761 0.750 0.125
Cl1 0.000 0.000 0.500
Cl2 0.000 0.500 0.750
Cl3 0.500 0.000 0.250
Cl4 0.500 0.500 0.000

> total moment of number 1 (Sr2Nb2Cl)?

0.0 μB per cell

> Which of these has the highest total moment?

SrNbCl3

> Number 2 is which compound?

SrNbCl3

> Which value of total moment does entry 2 give?

2.5 μB per cell